[1]
LiInGaPt: relaxed, PBE.

Its crystal system is cubic. As for the space-group type: No. 216. The energy relative to the lowest polymorph listed for this composition is 0.000 eV per atom.

Geometry as POSCAR:
```
LiInGaPt
1.0
0.0000 3.2031 3.2031
3.2031 0.0000 3.2031
3.2031 3.2031 0.0000
Li In Ga Pt
1 1 1 1
Cartesian
0.0000 0.0000 0.0000
4.8047 4.8047 4.8047
1.6016 1.6016 1.6016
3.2031 3.2031 3.2031
```


[2]
BaCoNiTe3: relaxed, PBE.

Its crystal system is orthorhombic. As for the space-group type: No. 63. The energy relative to the lowest polymorph listed for this composition is 0.000 eV per atom.

Geometry as POSCAR:
```
BaCoNiTe3
1.0
2.0152 -7.2855 0.0000
2.0152 7.2855 0.0000
0.0000 0.0000 10.4745
Ba Co Ni Te
2 2 2 6
Cartesian
2.0152 3.8474 7.8559
2.0152 -3.8474 2.6186
0.0000 0.0000 0.0000
0.0000 0.0000 5.2373
2.0152 0.6132 2.6186
2.0152 -0.6132 7.8559
2.0152 6.4359 2.6186
2.0152 1.6815 0.3304
2.0152 1.6815 4.9068
2.0152 -1.6815 5.5677
2.0152 -1.6815 10.1441
2.0152 -6.4359 7.8559
```


[3]
Ba2HfAl: relaxed, PBE.

For the total DFT energy (no corrections), the calculation gives -15.23 eV per cell. Its crystal system is cubic. As for the space-group type: No. 216.

Geometry as POSCAR:
```
Ba2HfAl
1.0
0.0000 3.9930 3.9930
3.9930 0.0000 3.9930
3.9930 3.9930 0.0000
Ba Hf Al
2 1 1
Cartesian
0.0000 0.0000 0.0000
1.9965 1.9965 1.9965
5.9894 5.9894 5.9894
3.9930 3.9930 3.9930
```


- What is the formula in the second record?
  BaCoNiTe3